No. 1
{"formula": "Pm5P4Cl", "functional": "PBE-GGA", "state": "relaxed", "lattice": [[-2.0631, 2.9051, 10.3613], [2.0631, -2.9051, 10.3613], [2.0631, 2.9051, -10.3613]], "species": ["Pm", "Pm", "Pm", "Pm", "Pm", "P", "P", "P", "P", "Cl"], "frac_coords": [[0.0000, 0.0000, 0.0000], [0.1994, 0.1994, 0.0000], [0.3893, 0.3893, 0.0000], [0.6107, 0.6107, 0.0000], [0.8006, 0.8006, 0.0000], [0.0975, 0.5975, 0.5000], [0.2990, 0.7990, 0.5000], [0.7010, 0.2010, 0.5000], [0.9025, 0.4025, 0.5000], [0.5000, 0.0000, 0.5000]], "e_form_raw_ev_per_atom": -1.62}

No. 2
{"formula": "CaY5Ag4", "functional": "PBE-GGA", "state": "relaxed", "lattice": [[3.6531, 0.0000, 0.0000], [0.0000, 3.6531, 0.0000], [0.0000, 0.0000, 20.0813]], "species": ["Ca", "Y", "Y", "Y", "Y", "Y", "Ag", "Ag", "Ag", "Ag"], "frac_coords": [[0.0000, 0.0000, 0.0000], [0.5000, 0.5000, 0.1398], [0.5000, 0.5000, 0.3185], [0.5000, 0.5000, 0.5000], [0.5000, 0.5000, 0.6815], [0.5000, 0.5000, 0.8602], [0.0000, 0.0000, 0.2261], [0.0000, 0.0000, 0.4104], [0.0000, 0.0000, 0.5896], [0.0000, 0.0000, 0.7739]], "formation_energy_ev_per_atom": -0.23}

No. 3
{"formula": "Zr2VIr", "functional": "PBE-GGA", "state": "relaxed", "lattice": [[5.5683, 0.0000, 0.0000], [-0.8658, 5.5267, 0.0000], [-2.7147, -1.3810, 4.6990]], "species": ["Zr", "Zr", "Zr", "Zr", "V", "V", "Ir", "Ir"], "frac_coords": [[0.0035, 0.1261, 0.2680], [0.4922, 0.6356, 0.7560], [0.5078, 0.3644, 0.2440], [0.9965, 0.8739, 0.7320], [0.0226, 0.6239, 0.2185], [0.9774, 0.3761, 0.7815], [0.4852, 0.8505, 0.2357], [0.5148, 0.1495, 0.7643]], "formation_energy_ev_per_atom": -0.35, "e_above_lowest_polymorph_kj_per_mol_atoms": 9.86}

No. 4
{"formula": "DyY2CdO", "functional": "PBE-GGA", "state": "relaxed", "lattice": [[4.8070, 0.0000, 0.0000], [0.0000, 4.8070, 0.0000], [0.0000, 0.0000, 4.7851]], "species": ["Dy", "Y", "Y", "Cd", "O"], "frac_coords": [[0.0000, 0.0000, 0.0000], [0.0000, 0.5000, 0.5000], [0.5000, 0.0000, 0.5000], [0.5000, 0.5000, 0.0000], [0.0000, 0.0000, 0.5000]], "e_form_raw_ev_per_atom": -1.33}

No. 5
{"formula": "CuNi2Rh", "functional": "PBE-GGA", "state": "relaxed", "lattice": [[2.9326, 0.0000, 0.0000], [0.0000, 2.9326, 0.0000], [0.0000, 0.0000, 5.6549]], "species": ["Cu", "Ni", "Ni", "Rh"], "frac_coords": [[0.0000, 0.0000, 0.0000], [0.0000, 0.0000, 0.4609], [0.5000, 0.5000, 0.2342], [0.5000, 0.5000, 0.7223]], "formation_energy_ev_per_atom": 0.10}

No. 6
{"formula": "Th2AgAu3", "functional": "PBE-GGA", "state": "relaxed", "lattice": [[0.0000, 4.8388, 8.3847], [3.4020, 0.0000, 8.3847], [3.4020, 4.8388, 0.0000]], "species": ["Th", "Th", "Th", "Th", "Ag", "Ag", "Au", "Au", "Au", "Au", "Au", "Au"], "frac_coords": [[0.2474, 0.7526, 0.7526], [0.2500, 0.2500, 0.2500], [0.7500, 0.7500, 0.7500], [0.7526, 0.2474, 0.2474], [0.3334, 0.3334, 0.6666], [0.6666, 0.6666, 0.3334], [0.1678, 0.1678, 0.8322], [0.1684, 0.6638, 0.3362], [0.3362, 0.8316, 0.1684], [0.6638, 0.1684, 0.8316], [0.8316, 0.3362, 0.6638], [0.8322, 0.8322, 0.1678]], "formation_energy_ev_per_atom": -0.59}

no.,uncorrected energy (eV per atom),spin magnetization (μB per atom)
1,-6.340,0.00
2,-4.798,0.00
3,-9.120,0.00
4,-6.012,0.00
5,-5.652,0.56
6,-5.173,0.00